K3CePr2Se6: relaxed, PBE-GGA.

Structure (POSCAR):
```
K3CePr2Se6
1.0
3.797 -6.576 0.000
3.797 6.576 0.000
-2.531 0.000 7.696
K Ce Pr Se
3 1 2 6
Direct
0.000 0.000 0.000
0.333 0.667 0.000
0.667 0.333 0.000
0.500 0.500 0.500
0.167 0.833 0.500
0.833 0.167 0.500
0.098 0.430 0.289
0.239 0.239 0.711
0.430 0.098 0.289
0.570 0.902 0.711
0.761 0.761 0.289
0.902 0.570 0.711
```

Results
energy relative to the elements, uncorrected = -1.73 eV/atom
DOS at the Fermi energy = 5.1 states/eV per cell